{"formula": "ScCdPd6", "functional": "GGA-PBE", "state": "optimized geometry", "m_tot_mub_per_fu": 0.0, "space_group": "C2/m", "polymorph_energy_kj_per_mol_atoms": 29.31, "lattice_angstrom": [[4.033, -2.689, 0.000], [4.033, 2.689, 0.000], [-2.188, 0.000, 6.836]], "species": ["Sc", "Cd", "Pd", "Pd", "Pd", "Pd", "Pd", "Pd"], "fractional_positions": [[0.000, 0.000, 0.000], [0.500, 0.500, 0.500], [0.031, 0.552, 0.196], [0.136, 0.136, 0.430], [0.448, 0.969, 0.804], [0.552, 0.031, 0.196], [0.864, 0.864, 0.570], [0.969, 0.448, 0.804]]}

{"formula": "ScCd3Pd", "functional": "GGA-PBE", "state": "optimized geometry", "m_tot_mub_per_fu": 0.8, "space_group": "Pm-3m", "polymorph_energy_kj_per_mol_atoms": 44.12, "lattice_angstrom": [[5.075, 0.000, 0.000], [0.000, 5.075, 0.000], [0.000, 0.000, 5.075]], "species": ["Sc", "Cd", "Cd", "Cd", "Pd"], "fractional_positions": [[0.000, 0.000, 0.000], [0.000, 0.500, 0.500], [0.500, 0.000, 0.500], [0.500, 0.500, 0.000], [0.500, 0.500, 0.500]]}

{"formula": "ScCd3Pd", "functional": "GGA-PBE", "state": "optimized geometry", "m_tot_mub_per_fu": 0.0, "space_group": "I-4m2", "polymorph_energy_kj_per_mol_atoms": 26.64, "lattice_angstrom": [[-2.667, 2.667, 9.380], [2.667, -2.667, 9.380], [2.667, 2.667, -9.380]], "species": ["Sc", "Sc", "Cd", "Cd", "Cd", "Cd", "Cd", "Cd", "Pd", "Pd"], "fractional_positions": [[0.216, 0.216, 0.000], [0.784, 0.784, 0.000], [0.375, 0.127, 0.751], [0.375, 0.624, 0.249], [0.376, 0.625, 0.751], [0.541, 0.041, 0.500], [0.873, 0.625, 0.249], [0.959, 0.459, 0.500], [0.250, 0.750, 0.500], [0.500, 0.500, 0.000]]}

{"formula": "ScCd2Pd", "functional": "GGA-PBE", "state": "optimized geometry", "m_tot_mub_per_fu": 0.0, "space_group": "P4/mmm", "energy_ev_per_atom": -3.715, "lattice_angstrom": [[4.096, 0.000, 0.000], [0.000, 4.096, 0.000], [0.000, 0.000, 4.694]], "species": ["Sc", "Cd", "Cd", "Pd"], "fractional_positions": [[0.000, 0.000, 0.000], [0.000, 0.500, 0.500], [0.500, 0.000, 0.500], [0.500, 0.500, 0.000]]}

{"formula": "Sc3CdPd6", "functional": "GGA-PBE", "state": "optimized geometry", "m_tot_mub_per_fu": 0.0, "space_group": "Cmc2_1", "polymorph_energy_kj_per_mol_atoms": 16.32, "lattice_angstrom": [[5.042, -6.886, 0.000], [5.042, 6.886, 0.000], [0.000, 0.000, 5.193]], "species": ["Sc", "Sc", "Sc", "Sc", "Sc", "Sc", "Cd", "Cd", "Pd", "Pd", "Pd", "Pd", "Pd", "Pd", "Pd", "Pd", "Pd", "Pd", "Pd", "Pd"], "fractional_positions": [[0.110, 0.890, 0.500], [0.217, 0.407, 0.133], [0.407, 0.217, 0.633], [0.593, 0.783, 0.133], [0.783, 0.593, 0.633], [0.890, 0.110, 0.000], [0.320, 0.680, 0.533], [0.680, 0.320, 0.033], [0.026, 0.468, 0.770], [0.084, 0.199, 0.523], [0.199, 0.084, 0.023], [0.242, 0.758, 0.029], [0.468, 0.026, 0.270], [0.479, 0.521, 0.827], [0.521, 0.479, 0.327], [0.532, 0.974, 0.770], [0.758, 0.242, 0.529], [0.801, 0.916, 0.523], [0.916, 0.801, 0.023], [0.974, 0.532, 0.270]]}

{"formula": "ScCdPd4", "functional": "GGA-PBE", "state": "optimized geometry", "m_tot_mub_per_fu": 0.0, "space_group": "P4/mmm", "energy_ev_per_atom": -4.943, "lattice_angstrom": [[4.284, 0.000, 0.000], [0.000, 4.284, 0.000], [0.000, 0.000, 6.401]], "species": ["Sc", "Cd", "Pd", "Pd", "Pd", "Pd"], "fractional_positions": [[0.000, 0.000, 0.000], [0.500, 0.500, 0.500], [0.000, 0.500, 0.239], [0.000, 0.500, 0.761], [0.500, 0.000, 0.239], [0.500, 0.000, 0.761]]}

{"formula": "ScCd3Pd6", "functional": "GGA-PBE", "state": "optimized geometry", "m_tot_mub_per_fu": 0.0, "space_group": "P2_1/m", "energy_ev_per_atom": -4.537, "lattice_angstrom": [[7.791, 0.000, 0.000], [0.000, 4.668, 0.000], [-3.547, 0.000, 9.382]], "species": ["Sc", "Sc", "Cd", "Cd", "Cd", "Cd", "Cd", "Cd", "Pd", "Pd", "Pd", "Pd", "Pd", "Pd", "Pd", "Pd", "Pd", "Pd", "Pd", "Pd"], "fractional_positions": [[0.065, 0.250, 0.371], [0.935, 0.750, 0.629], [0.248, 0.250, 0.976], [0.346, 0.750, 0.819], [0.471, 0.250, 0.590], [0.529, 0.750, 0.410], [0.654, 0.250, 0.181], [0.752, 0.750, 0.024], [0.038, 0.750, 0.919], [0.138, 0.750, 0.221], [0.156, 0.250, 0.670], [0.233, 0.750, 0.521], [0.354, 0.250, 0.280], [0.435, 0.750, 0.116], [0.565, 0.250, 0.884], [0.646, 0.750, 0.720], [0.767, 0.250, 0.479], [0.844, 0.750, 0.330], [0.862, 0.250, 0.779], [0.962, 0.250, 0.081]]}

{"formula": "Sc2CdPd6", "functional": "GGA-PBE", "state": "optimized geometry", "m_tot_mub_per_fu": 0.0, "space_group": "C2/m", "energy_ev_per_atom": -5.492, "lattice_angstrom": [[5.039, -3.800, 0.000], [5.039, 3.800, 0.000], [-2.145, 0.000, 4.141]], "species": ["Sc", "Sc", "Cd", "Pd", "Pd", "Pd", "Pd", "Pd", "Pd"], "fractional_positions": [[0.175, 0.175, 0.173], [0.825, 0.825, 0.827], [0.500, 0.500, 0.500], [0.026, 0.644, 0.336], [0.293, 0.707, 0.000], [0.356, 0.974, 0.664], [0.644, 0.026, 0.336], [0.707, 0.293, 0.000], [0.974, 0.356, 0.664]]}

{"formula": "ScCdPd14", "functional": "GGA-PBE", "state": "optimized geometry", "m_tot_mub_per_fu": 0.0, "space_group": "P4/mmm", "energy_ev_per_atom": -5.263, "lattice_angstrom": [[5.645, 0.000, 0.000], [0.000, 5.645, 0.000], [0.000, 0.000, 7.935]], "species": ["Sc", "Cd", "Pd", "Pd", "Pd", "Pd", "Pd", "Pd", "Pd", "Pd", "Pd", "Pd", "Pd", "Pd", "Pd", "Pd"], "fractional_positions": [[0.000, 0.000, 0.000], [0.500, 0.500, 0.000], [0.000, 0.000, 0.500], [0.000, 0.500, 0.000], [0.000, 0.500, 0.500], [0.248, 0.248, 0.252], [0.248, 0.248, 0.748], [0.248, 0.752, 0.252], [0.248, 0.752, 0.748], [0.500, 0.000, 0.000], [0.500, 0.000, 0.500], [0.500, 0.500, 0.500], [0.752, 0.248, 0.252], [0.752, 0.248, 0.748], [0.752, 0.752, 0.252], [0.752, 0.752, 0.748]]}

{"formula": "ScCd2Pd3", "functional": "GGA-PBE", "state": "optimized geometry", "m_tot_mub_per_fu": 0.0, "space_group": "P4/mmm", "polymorph_energy_kj_per_mol_atoms": 0.28, "lattice_angstrom": [[3.405, 0.000, 0.000], [0.000, 3.405, 0.000], [0.000, 0.000, 9.153]], "species": ["Sc", "Cd", "Cd", "Pd", "Pd", "Pd"], "fractional_positions": [[0.000, 0.000, 0.000], [0.000, 0.000, 0.336], [0.000, 0.000, 0.664], [0.500, 0.500, 0.162], [0.500, 0.500, 0.500], [0.500, 0.500, 0.838]]}

{"formula": "ScCd6Pd12", "functional": "GGA-PBE", "state": "optimized geometry", "m_tot_mub_per_fu": 0.0, "space_group": "R-3m", "energy_ev_per_atom": -4.140, "lattice_angstrom": [[5.524, 3.189, 3.195], [-5.524, 3.189, 3.195], [0.000, -6.378, 3.195]], "species": ["Sc", "Cd", "Cd", "Cd", "Cd", "Cd", "Cd", "Pd", "Pd", "Pd", "Pd", "Pd", "Pd", "Pd", "Pd", "Pd", "Pd", "Pd", "Pd"], "fractional_positions": [[0.000, 0.000, 0.000], [0.173, 0.173, 0.440], [0.173, 0.440, 0.173], [0.440, 0.173, 0.173], [0.560, 0.827, 0.827], [0.827, 0.560, 0.827], [0.827, 0.827, 0.560], [0.000, 0.252, 0.748], [0.000, 0.748, 0.252], [0.182, 0.594, 0.594], [0.252, 0.000, 0.748], [0.252, 0.748, 0.000], [0.406, 0.406, 0.818], [0.406, 0.818, 0.406], [0.594, 0.182, 0.594], [0.594, 0.594, 0.182], [0.748, 0.000, 0.252], [0.748, 0.252, 0.000], [0.818, 0.406, 0.406]]}

{"formula": "ScCdPd2", "functional": "GGA-PBE", "state": "optimized geometry", "m_tot_mub_per_fu": 0.0, "space_group": "I-42d", "energy_ev_per_atom": -4.761, "lattice_angstrom": [[-3.626, 3.626, 2.946], [3.626, -3.626, 2.946], [3.626, 3.626, -2.946]], "species": ["Sc", "Sc", "Cd", "Cd", "Pd", "Pd", "Pd", "Pd"], "fractional_positions": [[0.000, 0.000, 0.000], [0.750, 0.250, 0.500], [0.250, 0.750, 0.500], [0.500, 0.500, 0.000], [0.111, 0.625, 0.986], [0.375, 0.361, 0.486], [0.639, 0.125, 0.014], [0.875, 0.889, 0.514]]}

{"formula": "ScCdPd2", "functional": "GGA-PBE", "state": "optimized geometry", "m_tot_mub_per_fu": 0.0, "space_group": "P4/mmm", "energy_ev_per_atom": -5.117, "lattice_angstrom": [[3.315, 0.000, 0.000], [0.000, 3.315, 0.000], [0.000, 0.000, 6.478]], "species": ["Sc", "Cd", "Pd", "Pd"], "fractional_positions": [[0.000, 0.000, 0.000], [0.000, 0.000, 0.500], [0.500, 0.500, 0.240], [0.500, 0.500, 0.760]]}

{"formula": "ScCdPd6", "functional": "GGA-PBE", "state": "optimized geometry", "m_tot_mub_per_fu": 0.0, "space_group": "P4/mmm", "polymorph_energy_kj_per_mol_atoms": 0.00, "lattice_angstrom": [[4.001, 0.000, 0.000], [0.000, 4.001, 0.000], [0.000, 0.000, 8.120]], "species": ["Sc", "Cd", "Pd", "Pd", "Pd", "Pd", "Pd", "Pd"], "fractional_positions": [[0.000, 0.000, 0.000], [0.000, 0.000, 0.500], [0.000, 0.500, 0.245], [0.000, 0.500, 0.755], [0.500, 0.000, 0.245], [0.500, 0.000, 0.755], [0.500, 0.500, 0.000], [0.500, 0.500, 0.500]]}

{"formula": "ScCd3Pd3", "functional": "GGA-PBE", "state": "optimized geometry", "m_tot_mub_per_fu": 0.0, "space_group": "Cmmm", "energy_ev_per_atom": -3.991, "lattice_angstrom": [[4.632, -4.662, 0.000], [4.632, 4.662, 0.000], [0.000, 0.000, 6.284]], "species": ["Sc", "Sc", "Cd", "Cd", "Cd", "Cd", "Cd", "Cd", "Pd", "Pd", "Pd", "Pd", "Pd", "Pd"], "fractional_positions": [[0.231, 0.769, 0.000], [0.769, 0.231, 0.000], [0.264, 0.264, 0.000], [0.267, 0.267, 0.500], [0.272, 0.728, 0.500], [0.728, 0.272, 0.500], [0.733, 0.733, 0.500], [0.736, 0.736, 0.000], [0.000, 0.000, 0.263], [0.000, 0.000, 0.737], [0.000, 0.500, 0.247], [0.000, 0.500, 0.753], [0.500, 0.000, 0.247], [0.500, 0.000, 0.753]]}

{"formula": "Sc2Cd2Pd", "functional": "GGA-PBE", "state": "optimized geometry", "m_tot_mub_per_fu": 0.0, "space_group": "Cmmm", "polymorph_energy_kj_per_mol_atoms": 0.00, "lattice_angstrom": [[1.632, -10.132, 0.000], [1.632, 10.132, 0.000], [0.000, 0.000, 3.232]], "species": ["Sc", "Sc", "Cd", "Cd", "Pd"], "fractional_positions": [[0.083, 0.917, 0.000], [0.917, 0.083, 0.000], [0.311, 0.689, 0.500], [0.689, 0.311, 0.500], [0.500, 0.500, 0.500]]}

{"formula": "ScCdPd", "functional": "GGA-PBE", "state": "optimized geometry", "m_tot_mub_per_fu": 0.0, "space_group": "P-6m2", "energy_ev_per_atom": -4.615, "lattice_angstrom": [[4.679, 0.000, 0.000], [-2.340, 4.052, 0.000], [0.000, 0.000, 3.065]], "species": ["Sc", "Cd", "Pd"], "fractional_positions": [[0.000, 0.000, 0.000], [0.333, 0.667, 0.500], [0.667, 0.333, 0.500]]}

{"formula": "Sc2Cd2Pd", "functional": "GGA-PBE", "state": "optimized geometry", "m_tot_mub_per_fu": 0.0, "space_group": "P4/mbm", "polymorph_energy_kj_per_mol_atoms": 30.03, "lattice_angstrom": [[7.010, 0.000, 0.000], [0.000, 7.010, 0.000], [0.000, 0.000, 4.684]], "species": ["Sc", "Sc", "Sc", "Sc", "Cd", "Cd", "Cd", "Cd", "Pd", "Pd"], "fractional_positions": [[0.159, 0.341, 0.000], [0.341, 0.841, 0.000], [0.659, 0.159, 0.000], [0.841, 0.659, 0.000], [0.149, 0.649, 0.500], [0.351, 0.149, 0.500], [0.649, 0.851, 0.500], [0.851, 0.351, 0.500], [0.000, 0.000, 0.000], [0.500, 0.500, 0.000]]}

{"formula": "Sc2Cd5Pd", "functional": "GGA-PBE", "state": "optimized geometry", "m_tot_mub_per_fu": 0.0, "space_group": "R-3m", "energy_ev_per_atom": -3.059, "lattice_angstrom": [[2.441, 1.409, 7.995], [-2.441, 1.409, 7.995], [0.000, -2.819, 7.995]], "species": ["Sc", "Sc", "Cd", "Cd", "Cd", "Cd", "Cd", "Pd"], "fractional_positions": [[0.120, 0.120, 0.120], [0.880, 0.880, 0.880], [0.249, 0.249, 0.249], [0.371, 0.371, 0.371], [0.500, 0.500, 0.500], [0.629, 0.629, 0.629], [0.751, 0.751, 0.751], [0.000, 0.000, 0.000]]}

{"formula": "Sc2Cd2Pd7", "functional": "GGA-PBE", "state": "optimized geometry", "m_tot_mub_per_fu": 0.0, "space_group": "Cmmm", "energy_ev_per_atom": -4.870, "lattice_angstrom": [[3.691, -4.393, 0.000], [3.691, 4.393, 0.000], [0.000, 0.000, 6.650]], "species": ["Sc", "Sc", "Cd", "Cd", "Pd", "Pd", "Pd", "Pd", "Pd", "Pd", "Pd"], "fractional_positions": [[0.198, 0.802, 0.000], [0.802, 0.198, 0.000], [0.319, 0.319, 0.500], [0.681, 0.681, 0.500], [0.000, 0.000, 0.290], [0.000, 0.000, 0.710], [0.000, 0.500, 0.272], [0.000, 0.500, 0.728], [0.500, 0.000, 0.272], [0.500, 0.000, 0.728], [0.500, 0.500, 0.000]]}